The following is a PBE calculation of crystalline LiCu2Pt at its relaxed geometry, from Alexandria via LeMat-Bulk.

abc: 4.5241 4.5241 4.5241
angles: 130.62 130.62 72.41
With the nearest neighbours (Å) after each atom.
Atoms (fractional coordinates):
Li: 0.0000 0.0000 0.0000  8 Cu 2.63, 4 Pt 2.67
Cu: 0.2500 0.7500 0.5000  4 Li 2.63, 4 Pt 2.63, 4 Cu 2.67
Cu: 0.7500 0.2500 0.5000  4 Li 2.63, 4 Pt 2.63, 4 Cu 2.67
Pt: 0.5000 0.5000 0.0000  8 Cu 2.63, 4 Li 2.67

Values from the calculation:
**E_form**: -24.71 kJ/mol of atoms
**Space-group type**: I4/mmm
**Total magnetic moment**: 0.00 μB per atom
**DFT total energy**: -17.17 eV/f.u.
**Energy above the most stable polymorph in this dataset**: 21 meV per atom